Record 1
Entry from Alexandria via LeMat-Bulk: a relaxed Tb4Mg5Tl2 crystal (PBE).

a b c (Å): 3.5287 8.1004 10.5495
angles (deg): 94.09 90.00 90.00
Atoms (fractional coordinates):
1 Tb 0.5000 0.7224 0.5557
2 Tb 0.5000 0.1593 0.8882
3 Tb 0.5000 0.2776 0.4443
4 Tb 0.5000 0.8407 0.1118
5 Mg 0.0000 0.5635 0.2924
6 Mg 0.0000 0.1990 0.1645
7 Mg 0.0000 0.5000 0.0000
8 Mg 0.0000 0.8010 0.8355
9 Mg 0.0000 0.4365 0.7076
10 Tl 0.0000 0.0620 0.6411
11 Tl 0.0000 0.9380 0.3589

Summary:
As for the space group: P2/m. The value obtained for the calculated total energy is -2.9407 eV/atom. The calculation puts the formation energy at -101.9 meV per atom.

=====

Record 2
Entry from Alexandria via LeMat-Bulk: a relaxed BaZnTc3 crystal (PBE).

a b c (Å): 4.8053 4.8053 4.8053
angles (deg): 90.00 90.00 90.00
Last column: magnetic moment on the atom in μB.
Atoms (fractional coordinates):
1 Zn 0.0000 0.0000 0.0000  0.02
2 Ba 0.5000 0.5000 0.5000  0.05
3 Tc 0.0000 0.5000 0.0000  1.68
4 Tc 0.0000 0.0000 0.5000  1.61
5 Tc 0.5000 0.0000 0.0000  1.28

Summary:
Its energy above the most stable polymorph in this dataset is 0.00 eV/f.u. As for the space group: Pm-3m. The value obtained for the calculated total energy is -5.3292 eV/atom. The calculation puts the formation energy at 1529.8 meV per atom.

=====

Record 3
Entry from Alexandria via LeMat-Bulk: a relaxed K2Zr2PaS6 crystal (PBE).

a b c (Å): 6.5363 6.5363 8.0006
angles (deg): 97.82 97.82 120.27
Last column: magnetic moment on the atom in μB.
Atoms (fractional coordinates):
1 K 0.8342 0.1658 0.0000  0.00
2 K 0.1658 0.8342 0.0000  0.00
3 Zr 0.3327 0.6673 0.5000  0.02
4 Zr 0.6673 0.3327 0.5000  0.02
5 Pa 0.0000 0.0000 0.5000  0.05
6 S 0.7261 0.7261 0.6986  0.00
7 S 0.0673 0.4045 0.6990  0.00
8 S 0.2739 0.2739 0.3014  0.00
9 S 0.4045 0.0673 0.6990  0.00
10 S 0.9327 0.5955 0.3010  0.00
11 S 0.5955 0.9327 0.3010  0.00

Summary:
The calculation puts the energy relative to the elements, uncorrected at -1666 kJ/mol of formula units. As for the space group: C2/m. The value obtained for the calculated total energy is -6.4383 eV/atom.